(1)
LaHoAu6 | GGA-PBE | optimized geometry

Values from the calculation:
Formation energy, eV per atom: -0.66
Calculated volume, Å³ per atom: 21.63
Total energy, eV/atom: -4.307
Size of the total moment, Bohr magnetons per cell: 0.0

Cell lengths 4.8711, 4.8711, 8.6608 Å; angles 104.08, 104.08, 61.38 degrees
With the nearest neighbours (Å) after each atom.
Fractional coordinates of all 8 atoms:
La1 0.0000 0.0000 0.0000  8 Au 3.08-3.16
Ho1 0.5000 0.5000 0.5000  8 Au 2.92-3.01
Au1 0.1254 0.1254 0.3800  3 Ho 3.00-3.01, 6 Au 3.00-3.35, 1 La 3.16
Au2 0.2511 0.2511 0.7431  7 Au 2.97-3.03
Au3 0.3799 0.3799 0.1487  1 Ho 2.92, 3 Au 2.97, 3 La 3.08-3.10
Au4 0.6201 0.6201 0.8513  1 Ho 2.92, 3 Au 2.97, 3 La 3.08-3.10
Au5 0.7489 0.7489 0.2569  7 Au 2.97-3.03
Au6 0.8746 0.8746 0.6200  3 Ho 3.00-3.01, 6 Au 3.00-3.35, 1 La 3.16

=====

(2)
La3HoAu4 | GGA-PBE | optimized geometry

Values from the calculation:
Formation energy, eV per atom: -0.80
Calculated volume, Å³ per atom: 25.93
Total energy, eV/atom: -4.857
Size of the total moment, Bohr magnetons per cell: 0.0

Cell lengths 3.7046, 3.7046, 15.1170 Å; angles 90.00, 90.00, 90.00 degrees
With the nearest neighbours (Å) after each atom.
Fractional coordinates of all 8 atoms:
La1 0.0000 0.0000 0.0000  8 Au 3.25
La2 0.0000 0.0000 0.2558  8 Au 3.27-3.33
La3 0.0000 0.0000 0.7442  8 Au 3.27-3.33
Ho1 0.0000 0.0000 0.5000  8 Au 3.09
Au1 0.5000 0.5000 0.1268  8 La 3.25-3.27
Au2 0.5000 0.5000 0.3915  4 Ho 3.09, 1 Au 3.28, 4 La 3.33
Au3 0.5000 0.5000 0.6085  4 Ho 3.09, 1 Au 3.28, 4 La 3.33
Au4 0.5000 0.5000 0.8732  8 La 3.25-3.27

=====

(3)
LaHo5Au4 | GGA-PBE | optimized geometry

Values from the calculation:
Formation energy, eV per atom: -0.69
Calculated volume, Å³ per atom: 25.25
Total energy, eV/atom: -4.787
Size of the total moment, Bohr magnetons per cell: 0.0

Cell lengths 3.5611, 3.5611, 19.9089 Å; angles 90.00, 90.00, 90.00 degrees
With the nearest neighbours (Å) after each atom.
Fractional coordinates of all 10 atoms:
La1 0.0000 0.0000 0.0000  4 La 3.56, 8 Ho 3.71
Ho1 0.5000 0.5000 0.1371  4 Au 3.05
Ho2 0.5000 0.5000 0.3170  8 Au 3.11-3.13
Ho3 0.5000 0.5000 0.5000  8 Au 3.11
Ho4 0.5000 0.5000 0.6830  8 Au 3.11-3.13
Ho5 0.5000 0.5000 0.8629  4 Au 3.05
Au1 0.0000 0.0000 0.2233  8 Ho 3.05-3.13
Au2 0.0000 0.0000 0.4085  8 Ho 3.11
Au3 0.0000 0.0000 0.5915  8 Ho 3.11
Au4 0.0000 0.0000 0.7767  8 Ho 3.05-3.13

=====

(4)
LaHo2Au4 | GGA-PBE | optimized geometry

Values from the calculation:
Formation energy, eV per atom: -0.60
Calculated volume, Å³ per atom: 25.75
Total energy, eV/atom: -4.488
Size of the total moment, Bohr magnetons per cell: 0.0

Cell lengths 5.0961, 5.0961, 6.9405 Å; angles 90.00, 90.00, 90.00 degrees
With the nearest neighbours (Å) after each atom.
Fractional coordinates of all 7 atoms:
La1 0.0000 0.0000 0.0000  8 Au 3.13, 2 Ho 3.47
Ho1 0.0000 0.0000 0.5000  8 Au 3.04
Ho2 0.5000 0.5000 0.0000  8 Au 3.13
Au1 0.0000 0.5000 0.2618  4 Ho 3.04-3.13, 2 La 3.13, 1 Au 3.31
Au2 0.0000 0.5000 0.7382  4 Ho 3.04-3.13, 2 La 3.13, 1 Au 3.31
Au3 0.5000 0.0000 0.2618  4 Ho 3.04-3.13, 2 La 3.13, 1 Au 3.31
Au4 0.5000 0.0000 0.7382  4 Ho 3.04-3.13, 2 La 3.13, 1 Au 3.31

=====

(5)
LaHo3Au4 | GGA-PBE | optimized geometry

Values from the calculation:
Formation energy, eV per atom: -0.83
Calculated volume, Å³ per atom: 24.03
Total energy, eV/atom: -4.805
Size of the total moment, Bohr magnetons per cell: 0.0

Cell lengths 5.1250, 5.1250, 7.3197 Å; angles 90.00, 90.00, 90.00 degrees
With the nearest neighbours (Å) after each atom.
Fractional coordinates of all 8 atoms:
La1 0.0000 0.0000 0.0000  8 Au 3.22
Ho1 0.0000 0.0000 0.5000  8 Au 3.08
Ho2 0.5000 0.5000 0.0000  8 Au 3.22
Ho3 0.5000 0.5000 0.5000  8 Au 3.08
Au1 0.0000 0.5000 0.2669  6 Ho 3.08-3.22, 2 La 3.22, 1 Au 3.41
Au2 0.0000 0.5000 0.7331  6 Ho 3.08-3.22, 2 La 3.22, 1 Au 3.41
Au3 0.5000 0.0000 0.2669  6 Ho 3.08-3.22, 2 La 3.22, 1 Au 3.41
Au4 0.5000 0.0000 0.7331  6 Ho 3.08-3.22, 2 La 3.22, 1 Au 3.41

=====

(6)
La2HoAu6 | GGA-PBE | optimized geometry

Values from the calculation:
Formation energy, eV per atom: -0.69
Calculated volume, Å³ per atom: 24.27
Total energy, eV/atom: -4.477
Size of the total moment, Bohr magnetons per cell: 0.0

Cell lengths 6.7296, 6.7296, 5.5697 Å; angles 90.00, 90.00, 120.00 degrees
With the nearest neighbours (Å) after each atom.
Fractional coordinates of all 9 atoms:
La1 0.3333 0.6667 0.3288  12 Au 3.22-3.48
La2 0.6667 0.3333 0.6712  12 Au 3.22-3.48
Ho1 0.0000 0.0000 0.5000  6 Au 2.83
Au1 0.1882 0.3764 0.8206  1 Ho 2.83, 4 Au 2.93-2.97
Au2 0.1882 0.8118 0.8206  1 Ho 2.83, 4 Au 2.93-2.97
Au3 0.3764 0.1882 0.1794  1 Ho 2.83, 4 Au 2.93-2.97
Au4 0.6236 0.8118 0.8206  1 Ho 2.83, 4 Au 2.93-2.97
Au5 0.8118 0.1882 0.1794  1 Ho 2.83, 4 Au 2.93-2.97
Au6 0.8118 0.6236 0.1794  1 Ho 2.83, 4 Au 2.93-2.97

=====

(7)
LiLaHo2Au4 | GGA-PBE | optimized geometry

Values from the calculation:
Formation energy, eV per atom: -0.76
Calculated volume, Å³ per atom: 23.07
Total energy, eV/atom: -4.394
Size of the total moment, Bohr magnetons per cell: 0.0

Cell lengths 9.0347, 9.0347, 9.0347 Å; angles 32.05, 32.05, 32.05 degrees
With the nearest neighbours (Å) after each atom.
Fractional coordinates of all 8 atoms:
Li1 0.0000 0.0000 0.0000  2 Au 2.75
La1 0.5000 0.5000 0.5000  8 Au 3.12-3.26
Ho1 0.2640 0.2640 0.2640  7 Au 2.95-3.04
Ho2 0.7360 0.7360 0.7360  7 Au 2.95-3.04
Au1 0.1070 0.1070 0.1070  1 Li 2.75, 3 Ho 3.04
Au2 0.3787 0.3787 0.3787  4 Ho 2.95, 3 Li 3.11, 1 La 3.12, 3 Au 3.29
Au3 0.6213 0.6213 0.6213  4 Ho 2.95, 3 Li 3.11, 1 La 3.12, 3 Au 3.29
Au4 0.8930 0.8930 0.8930  1 Li 2.75, 3 Ho 3.04

=====

(8)
LaHo2MgAu4 | GGA-PBE | optimized geometry

Values from the calculation:
Formation energy, eV per atom: -0.78
Calculated volume, Å³ per atom: 23.27
Total energy, eV/atom: -4.380
Size of the total moment, Bohr magnetons per cell: 0.0

Cell lengths 9.0616, 9.0616, 9.0616 Å; angles 32.05, 32.05, 32.05 degrees
With the nearest neighbours (Å) after each atom.
Fractional coordinates of all 8 atoms:
La1 0.0000 0.0000 0.0000  8 Au 3.16-3.25
Ho1 0.2391 0.2391 0.2391  7 Au 2.98-3.04
Ho2 0.7609 0.7609 0.7609  7 Au 2.98-3.04
Mg1 0.5000 0.5000 0.5000  8 Au 2.81-3.10
Au1 0.1227 0.1227 0.1227  4 Ho 2.98-3.00, 3 Mg 3.10, 1 La 3.16
Au2 0.3909 0.3909 0.3909  1 Mg 2.81, 3 Ho 3.04
Au3 0.6091 0.6091 0.6091  1 Mg 2.81, 3 Ho 3.04
Au4 0.8773 0.8773 0.8773  4 Ho 2.98-3.00, 3 Mg 3.10, 1 La 3.16

=====

(9)
LaHoMgAu | GGA-PBE | optimized geometry

Values from the calculation:
Formation energy, eV per atom: -0.38
Calculated volume, Å³ per atom: 26.68
Total energy, eV/atom: -3.973
Size of the total moment, Bohr magnetons per cell: 0.0

Cell lengths 5.3245, 5.3245, 5.3245 Å; angles 60.00, 60.00, 60.00 degrees
With the nearest neighbours (Å) after each atom.
Fractional coordinates of all 4 atoms:
La1 0.0000 0.0000 0.0000  4 Mg 3.26, 4 Au 3.26
Ho1 0.5000 0.5000 0.5000  4 Au 3.26, 4 Mg 3.26
Mg1 0.2500 0.2500 0.2500  4 Ho 3.26, 4 La 3.26
Au1 0.7500 0.7500 0.7500  4 La 3.26, 4 Ho 3.26

=====

(10)
LaHoNiAu | GGA-PBE | optimized geometry

Values from the calculation:
Formation energy, eV per atom: -0.52
Calculated volume, Å³ per atom: 23.26
Total energy, eV/atom: -5.156
Size of the total moment, Bohr magnetons per cell: 0.0

Cell lengths 5.0863, 5.0863, 5.0863 Å; angles 60.00, 60.00, 60.00 degrees
With the nearest neighbours (Å) after each atom.
Fractional coordinates of all 4 atoms:
La1 0.0000 0.0000 0.0000  4 Ni 3.11, 4 Au 3.11
Ho1 0.5000 0.5000 0.5000  4 Ni 3.11, 4 Au 3.11
Ni1 0.7500 0.7500 0.7500  4 La 3.11, 4 Ho 3.11
Au1 0.2500 0.2500 0.2500  4 La 3.11, 4 Ho 3.11

=====

(11)
LaHoPbAu | GGA-PBE | optimized geometry

Values from the calculation:
Formation energy, eV per atom: -0.61
Calculated volume, Å³ per atom: 27.77
Total energy, eV/atom: -4.736
Size of the total moment, Bohr magnetons per cell: 0.8

Cell lengths 5.3956, 5.3956, 5.3956 Å; angles 60.00, 60.00, 60.00 degrees
With the nearest neighbours (Å) after each atom.
Fractional coordinates of all 4 atoms:
La1 0.0000 0.0000 0.0000  4 Pb 3.30, 4 Au 3.30
Ho1 0.5000 0.5000 0.5000  4 Pb 3.30, 4 Au 3.30
Pb1 0.7500 0.7500 0.7500  4 Ho 3.30, 4 La 3.30
Au1 0.2500 0.2500 0.2500  4 La 3.30, 4 Ho 3.30

=====

(12)
LaHoPdAu | GGA-PBE | optimized geometry

Values from the calculation:
Formation energy, eV per atom: -0.80
Calculated volume, Å³ per atom: 24.22
Total energy, eV/atom: -5.289
Size of the total moment, Bohr magnetons per cell: 0.0
Energy above the most stable polymorph in this dataset, kcal/mol of atoms: 1.293

Cell lengths 5.1549, 5.1549, 5.1549 Å; angles 60.00, 60.00, 60.00 degrees
With the nearest neighbours (Å) after each atom.
Fractional coordinates of all 4 atoms:
La1 0.0000 0.0000 0.0000  4 Pd 3.16, 4 Au 3.16
Ho1 0.5000 0.5000 0.5000  4 Pd 3.16, 4 Au 3.16
Pd1 0.2500 0.2500 0.2500  4 La 3.16, 4 Ho 3.16
Au1 0.7500 0.7500 0.7500  4 La 3.16, 4 Ho 3.16